Compound: Er4GaSe3
Source: Alexandria via LeMat-Bulk
Functional: PBE
Structure: relaxed

Cell and atoms, written as extended XYZ:
```
8
Lattice="-2.0355 -2.9987 1.7357 5.1562 -0.7009 4.8360 -4.8043 4.6502 2.3998" Properties=species:S:1:pos:R:3 pbc="T T T"
Se -0.8418 0.4753 4.4857
Se -2.4021 2.3251 1.1999
Se 2.5781 -0.3504 2.4180
Er 1.7256 -0.9039 5.1137
Er -3.4091 1.8546 3.8578
Er 0.2668 2.9943 5.4860
Er 0.0851 0.9550 1.7497
Ga -1.0178 -1.4993 0.8678
```

Properties
The density of states at the Fermi level comes out at 0.35 states/eV per atom. The calculation puts the uncorrected formation energy at -1.47 eV/atom. The energy above the most stable polymorph in this dataset is 9.4 meV/atom.


Compound: Pr7NdHg4
Source: Alexandria via LeMat-Bulk
Functional: PBE
Structure: relaxed

Cell and atoms, written as extended XYZ:
```
12
Lattice="5.9410 0.0000 0.0000 2.9705 8.7199 0.9036 2.9705 0.9809 7.4916" Properties=species:S:1:pos:R:3 pbc="T T T"
Hg 2.9705 3.0276 0.5790
Hg 8.9115 6.6733 7.8161
Hg 5.9410 3.0046 5.0234
Hg 5.9410 6.6962 3.3717
Pr 5.9410 6.7059 6.4421
Pr 2.9705 5.4909 2.6047
Pr 2.9705 0.0000 0.0000
Pr 2.9705 1.4115 3.6322
Pr 8.9115 8.2893 4.7630
Pr 8.9115 4.2099 5.7905
Pr 5.9410 2.9949 1.9530
Nd 0.0000 0.0000 0.0000
```

Properties
The density of states at the Fermi level comes out at 1.30 states/eV per atom. The calculation puts the formation energy at -0.14 eV/atom.


Compound: La14HoTm
Source: Alexandria via LeMat-Bulk
Functional: PBE
Structure: relaxed

Cell and atoms, written as extended XYZ:
```
16
Lattice="7.3146 0.9776 0.0000 -0.9850 7.3136 0.0000 0.0000 0.0000 10.5080" Properties=species:S:1:pos:R:3 pbc="T T T"
La 3.7068 7.0066 7.9046
La 6.2800 1.7674 5.2540
La 2.1248 4.9396 5.2540
La 0.0562 6.5187 7.9030
La 4.1985 3.3565 2.5987
La 2.6237 1.2858 5.2540
La 4.1985 3.3565 7.9093
La 3.7068 7.0066 2.6034
La 0.5478 2.8687 7.9046
La 0.5478 2.8687 2.6034
La 2.6169 1.2770 0.0000
La 0.0562 6.5187 2.6051
La 5.7875 5.4303 0.0000
La 5.7808 5.4213 5.2540
Tm 2.1280 4.9371 0.0000
Ho 6.2763 1.7703 0.0000
```

Properties
The density of states at the Fermi level comes out at 1.69 states/eV per atom. The calculation puts the formation energy at 0.01 eV/atom.


Compound: BaRe2H2O9
Source: Alexandria via LeMat-Bulk
Functional: PBE
Structure: relaxed

Cell and atoms, written as extended XYZ:
```
56
Lattice="7.5338 0.0207 -0.0658 0.0549 7.6060 -0.0348 1.3994 0.0058 15.7868" Properties=species:S:1:pos:R:3 pbc="T T T"
Re 5.6036 6.0950 0.0686
Re 6.2408 1.6014 7.9345
Re 7.1183 2.7478 13.3706
Re 2.3978 2.6493 10.2446
Re 6.5902 4.9831 5.4416
Re 1.8697 4.8847 2.3157
Re 3.3844 1.5374 15.6176
Re 2.7472 6.0311 7.7517
H 0.9651 0.3820 3.3754
H 4.7819 0.0774 4.3551
H 5.4344 7.5599 12.2962
H 1.6072 7.2379 11.3297
H 3.5536 0.0725 3.3900
H 7.3808 0.3945 4.3565
H 8.0229 7.2505 12.3108
H 4.2061 7.5551 11.3311
O 7.5977 2.2137 7.0059
O 6.1513 3.9565 12.5272
O 0.6047 2.1859 0.6932
O 4.1562 0.6810 3.8835
O 5.6660 2.8158 9.0620
O 4.8318 6.9514 11.8027
O 6.7789 1.1188 12.7894
O 6.2243 5.0441 7.1466
O 3.2905 1.2976 0.9745
O 6.7353 0.1751 8.8245
O 1.3903 5.4188 8.6803
O 7.7007 4.5632 2.4726
O 4.9431 1.2207 6.8205
O 0.4130 1.0001 3.9097
O 6.2573 6.5698 4.7477
O 2.2527 7.4574 6.8617
O 4.0449 6.4118 8.8657
O 2.7308 1.0626 10.9385
O 3.9216 2.6334 14.3565
O 0.7636 4.6023 5.3367
O 5.6254 3.7315 4.6675
O 3.3220 4.8166 6.6242
O 5.0665 4.9990 1.3297
O 2.8367 3.6759 3.1590
O 2.2083 4.8101 0.6044
O 1.2873 3.0693 13.2136
O 6.0618 7.6179 0.8034
O 2.2091 6.5137 2.8968
O 8.2244 3.0302 10.3495
O 8.3833 5.4466 14.9930
O 6.7797 2.8224 15.0818
O 2.9262 0.0146 14.8828
O 2.7637 2.5884 8.5396
O 3.3626 3.9009 11.0187
O 8.5751 6.6323 11.7765
O 5.6975 6.3349 14.7117
Ba 5.7044 2.4309 2.0945
Ba 2.5464 2.3216 5.7213
Ba 3.2836 5.2015 13.5918
Ba 6.4416 5.3109 9.9649
```

Properties
The density of states at the Fermi level comes out at 0.00 states/eV per atom. The calculated total energy comes out at -7.40 eV/atom.


Compound: SrSbPI2
Source: Alexandria via LeMat-Bulk
Functional: PBE
Structure: relaxed

Cell and atoms, written as extended XYZ:
```
5
Lattice="5.4717 0.0000 0.0000 0.0000 5.4717 0.0000 0.0000 0.0000 5.5798" Properties=species:S:1:pos:R:3 pbc="T T T"
I 0.0000 2.7359 0.0000
I 2.7359 0.0000 0.0000
P 0.0000 0.0000 0.0000
Sb 0.0000 0.0000 2.7899
Sr 2.7359 2.7359 2.7899
```

Properties
The density of states at the Fermi level comes out at 0.62 states/eV per atom. The calculation puts the uncorrected formation energy at -0.24 eV/atom. The energy above the most stable polymorph in this dataset is 0.0 meV/atom.


Compound: Hf2FeH
Source: Alexandria via LeMat-Bulk
Functional: PBE
Structure: relaxed

Cell and atoms, written as extended XYZ:
```
4
Lattice="3.5507 -1.6960 1.8216 1.4201 1.5174 3.8056 -0.3475 -2.4352 3.5709" Properties=species:S:1:pos:R:3 pbc="T T T"
Hf 3.4675 -1.9604 6.8986
Hf 1.1558 -0.6535 2.2995
Fe 2.3117 -1.3069 4.5990
H 0.0000 0.0000 0.0000
```

Properties
The density of states at the Fermi level comes out at 0.90 states/eV per atom. The energy above the most stable polymorph in this dataset is 160.3 meV/atom.


Compound: Bi3Pb8Au2
Source: Alexandria via LeMat-Bulk
Functional: PBE
Structure: relaxed

Cell and atoms, written as extended XYZ:
```
13
Lattice="-1.5958 5.5342 -0.6832 -5.9154 1.0744 6.9445 2.8213 3.7132 7.9135" Properties=species:S:1:pos:R:3 pbc="T T T"
Bi -4.0938 1.6246 7.1465
Bi 0.9997 3.1630 7.7115
Bi -0.7979 2.7671 -0.3416
Pb -3.4903 8.4182 8.5435
Pb -2.6743 4.3669 12.2191
Pb -4.4858 5.0955 9.0714
Pb -0.2041 5.2262 5.1034
Pb -0.9688 6.1578 9.4615
Pb -2.0155 5.9548 1.9557
Pb -1.1996 1.9036 5.6313
Pb -3.7210 4.1640 4.7133
Au -3.3834 7.0759 11.2352
Au -1.3064 3.2459 2.9396
```

Properties
The density of states at the Fermi level comes out at 0.66 states/eV per atom. The calculation puts the formation energy at 0.03 eV/atom.


Compound: Pm2SmHo4Tm
Source: Alexandria via LeMat-Bulk
Functional: PBE
Structure: relaxed

Cell and atoms, written as extended XYZ:
```
16
Lattice="-2.5687 -8.5608 -3.2123 6.9149 0.0928 -6.5099 0.3958 3.8138 11.1465" Properties=species:S:1:pos:R:3 pbc="T T T"
Pm 0.1979 1.9069 5.5732
Pm -1.2843 -4.2804 -1.6061
Pm 2.1731 -4.2340 -4.8611
Pm -1.0864 -2.3735 3.9671
Ho 1.0909 -2.1010 -2.3825
Ho 4.6974 -0.2024 -0.0931
Ho 4.5880 -2.0286 -5.6971
Ho 3.4597 -4.4301 -1.6696
Ho 0.1540 -2.6257 7.1215
Ho 1.2825 -0.2240 3.0939
Ho 0.0446 -4.4518 1.5175
Ho 3.6512 -2.5531 3.8069
Tm 2.3711 -2.3270 0.7122
Tm -2.1729 -4.7469 7.9342
Sm 3.4575 0.0464 -3.2549
Sm 1.0867 -6.6075 -0.8940
```

Properties
The density of states at the Fermi level comes out at 2.28 states/eV per atom. The calculation puts the formation energy at 0.43 eV/atom.


Compound: Sr2UZnS6
Source: Alexandria via LeMat-Bulk
Functional: PBE
Structure: relaxed

Cell and atoms, written as extended XYZ:
```
10
Lattice="-4.5596 5.1877 1.3985 -4.9432 -4.6862 1.2665 6.1053 -0.3984 3.4054" Properties=species:S:1:pos:R:3 pbc="T T T"
S -7.0038 0.3375 2.4951
S -1.1612 2.0210 2.9456
S 1.0934 -2.6165 4.2192
S 3.6062 -0.2343 3.5754
S -2.2364 -1.9178 3.1249
S -4.4909 2.7197 1.8513
Sr 0.7779 -0.1750 2.3884
Sr -4.1754 0.2782 3.6820
Zn -2.2798 2.5939 0.6993
U -2.4716 -2.3431 0.6333
```

Properties
The calculation puts the uncorrected formation energy at -1.40 eV/atom.


Compound: Th3TcNi
Source: Alexandria via LeMat-Bulk
Functional: PBE
Structure: relaxed

Cell and atoms, written as extended XYZ:
```
10
Lattice="4.7303 0.0000 0.0000 0.0000 8.0444 0.0000 0.0000 -4.0222 6.7828" Properties=species:S:1:pos:R:3 pbc="T T T"
Ni 2.3651 4.0222 5.6076
Ni 2.3651 0.0000 1.1752
Th 0.0000 4.0222 4.7767
Th 2.3651 2.0111 3.3914
Th 0.0000 0.0000 2.0060
Th 2.3651 5.4773 0.0000
Th 2.3651 2.5671 0.0000
Th 2.3651 -2.0111 3.3914
Tc 0.0000 0.0000 4.8317
Tc 0.0000 4.0222 1.9511
```

Properties
The density of states at the Fermi level comes out at 1.44 states/eV per atom. The calculation puts the formation energy at 0.20 eV/atom. The energy above the most stable polymorph in this dataset is 440.6 meV/atom.


Compound: Tl5Pd
Source: Alexandria via LeMat-Bulk
Functional: PBE
Structure: relaxed

Cell and atoms, written as extended XYZ:
```
12
Lattice="-3.5970 0.9522 1.6381 -3.9109 -3.3239 -6.6556 -0.2534 -8.6121 4.4499" Properties=species:S:1:pos:R:3 pbc="T T T"
Tl 0.0000 0.0000 0.0000
Tl -5.5422 -9.0033 -1.8912
Tl -2.2191 -1.9805 1.3236
Tl -0.1267 -4.3061 2.2250
Tl -4.5730 -5.5527 -1.7689
Tl -2.4551 -8.3842 -0.5172
Tl -3.2831 -8.6548 2.8670
Tl -1.7092 -3.5519 -1.6885
Tl -3.1882 -5.4311 1.2013
Tl -4.4782 -2.3290 -3.4346
Pd -3.2323 -4.8464 -4.2806
Pd -0.9319 -7.0896 2.0749
```

Properties
The density of states at the Fermi level comes out at 0.45 states/eV per atom. The calculation puts the formation energy at -0.03 eV/atom. The energy above the most stable polymorph in this dataset is 0.0 meV/atom.


Compound: NaIn5Ag3
Source: Alexandria via LeMat-Bulk
Functional: PBE
Structure: relaxed

Cell and atoms, written as extended XYZ:
```
18
Lattice="4.0911 0.0000 0.0000 -2.0455 7.5334 0.0000 0.0000 0.0000 15.0110" Properties=species:S:1:pos:R:3 pbc="T T T"
In 2.0455 0.6900 9.7922
In 0.0000 6.8435 2.2867
In 0.0000 2.9509 13.9955
In 0.0000 0.0000 0.0000
In 0.0000 0.0000 7.5055
In 0.0000 2.9509 8.5210
In 2.0455 0.6900 12.7243
In 0.0000 6.8435 5.2188
In 2.0455 4.5826 1.0155
In 2.0455 4.5826 6.4900
Ag 2.0455 1.8309 0.9667
Ag 0.0000 5.7026 14.0444
Ag 2.0455 1.8309 6.5389
Ag 0.0000 2.2647 11.2583
Ag 0.0000 5.7026 8.4722
Ag 2.0455 5.2687 3.7528
Na 2.0455 5.0829 11.2583
Na 0.0000 2.4505 3.7528
```

Properties
The density of states at the Fermi level comes out at 0.26 states/eV per atom. The calculation puts the formation energy at 0.02 eV/atom.


Question: Which formula does entry 5 have?
Answer: SrSbPI2